No. 1
BaSm2Se after structural relaxation. Source: the Alexandria database, functional PBE-GGA.

Values from the calculation:
The calculation puts the total energy at -4.3706 eV/atom. Its space group is R-3m (166). Its density of states at the Fermi level is 3.55 states/eV/cell.

```
BaSm2Se
1.0
4.0013 0.0000 0.0000
2.0006 3.4652 0.0000
2.0006 1.1551 10.7654
Se Ba Sm
1 1 2
Direct
0.5000 0.5000 0.5000
0.0000 0.0000 0.0000
0.1140 0.1140 0.6581
0.8860 0.8860 0.3419
```



No. 2
BaSm2Se4 after structural relaxation. Source: the Alexandria database, functional PBE-GGA.

Values from the calculation:
The calculation puts the total energy at -5.5868 eV/atom. Its space group is Pnma (62). For the distance to the lowest polymorph of the same formula, the calculation gives 0 meV/atom.

```
BaSm2Se4
1.0
4.3001 0.0000 0.0000
0.0000 12.9456 0.0000
0.0000 0.0000 15.4714
Ba Sm Se
4 8 16
Direct
0.2500 0.7578 0.3369
0.2500 0.2578 0.1631
0.7500 0.2422 0.6631
0.7500 0.7422 0.8369
0.2500 0.4308 0.3920
0.2500 0.9308 0.1080
0.7500 0.5692 0.6080
0.7500 0.0692 0.8920
0.2500 0.4217 0.8990
0.2500 0.9217 0.6010
0.7500 0.5783 0.1010
0.7500 0.0783 0.3990
0.2500 0.2079 0.8305
0.2500 0.7079 0.6695
0.7500 0.7921 0.1695
0.7500 0.2921 0.3305
0.2500 0.1295 0.5246
0.2500 0.6295 0.9754
0.7500 0.8705 0.4754
0.7500 0.3705 0.0246
0.2500 0.5218 0.2170
0.2500 0.0218 0.2830
0.7500 0.4782 0.7830
0.7500 0.9782 0.7170
0.2500 0.4167 0.5791
0.2500 0.9167 0.9209
0.7500 0.5833 0.4209
0.7500 0.0833 0.0791
```



No. 3
BaSmSe2 after structural relaxation. Source: the Alexandria database, functional PBE-GGA.

Values from the calculation:
The calculation puts the total energy at -5.2468 eV/atom. Its space group is R3m (160). Its density of states at the Fermi level is 2.36 states/eV/cell. For the distance to the lowest polymorph of the same formula, the calculation gives 62 meV/atom.

```
BaSmSe2
1.0
4.2803 0.0000 0.0000
2.1401 3.7068 0.0000
2.1401 1.2356 7.7393
Ba Sm Se
1 1 2
Direct
0.4962 0.4962 0.5113
0.6695 0.6695 0.9916
0.0728 0.0728 0.7815
0.2615 0.2615 0.2156
```



No. 4
BaSm2Se4 after structural relaxation. Source: the Alexandria database, functional PBE-GGA.

Values from the calculation:
The calculation puts the total energy at -5.5666 eV/atom. Its space group is Cmcm (63). For the distance to the lowest polymorph of the same formula, the calculation gives 20 meV/atom.

```
BaSm2Se4
1.0
-0.6372 -3.0444 -2.9467
6.4439 -1.4057 3.1736
-6.6626 -8.1888 9.9012
Ba Sm Se
2 4 8
Direct
0.6103 0.2207 0.7500
0.3897 0.7793 0.2500
0.1344 0.2689 0.4329
0.8656 0.7311 0.9329
0.1344 0.2689 0.0671
0.8656 0.7311 0.5671
0.7677 0.5355 0.1135
0.7677 0.5355 0.3865
0.2323 0.4645 0.8865
0.2323 0.4645 0.6135
0.9400 0.8801 0.7500
0.0600 0.1199 0.2500
0.5000 0.0000 0.0000
0.5000 0.0000 0.5000
```